1.
Compound: CaCrCd
Source: Alexandria
Functional: PBE-GGA
Structure: relaxed

```
CaCrCd
1.0
4.964 0.000 0.000
-2.482 4.299 0.000
0.000 0.000 3.585
Ca Cr Cd
1 1 1
Cartesian
0.000 0.000 0.000
0.000 2.866 1.792
2.482 1.433 1.792
```

The formation energy from the elements is 0.285 eV per atom. The space-group type is P-6m2 (187). As for the uncorrected energy: -3.8947 eV/atom. The calculation puts the offset from the most stable computed form at 0.007 eV per atom.

=====

2.
Compound: CaAsSe2
Source: Alexandria
Functional: PBE-GGA
Structure: relaxed

```
CaAsSe2
1.0
-2.001 2.001 5.897
2.001 -2.001 5.897
2.001 2.001 -5.897
Ca As Se
1 1 2
Cartesian
0.000 0.000 0.000
0.000 2.001 2.949
2.001 0.000 2.949
0.000 0.000 5.897
```

Its uncorrected formation energy is -0.620 eV per atom. The space-group type is I-4m2 (119). As for the uncorrected energy: -4.0247 eV/atom.